# Y3Nb2Re3N12

Crystalline Y3Nb2Re3N12 at its relaxed geometry (PBE, OQMD).

The crystal system is cubic. The value obtained for the electronic total energy is -9.550 eV/atom.

a b c (Å): 11.066 11.066 11.066
angles (deg): 109.47 109.47 109.47
Fractional positions:
Re  0.125  0.875  0.250
N  0.088  0.708  0.686
Y  0.250  0.875  0.625
N  0.912  0.292  0.314
N  0.686  0.088  0.708
N  0.522  0.403  0.814
N  0.412  0.814  0.792
Nb  0.000  0.000  0.000
N  0.097  0.978  0.686
Re  0.375  0.250  0.625
Re  0.750  0.375  0.625
N  0.792  0.412  0.814
N  0.403  0.814  0.522
Nb  0.000  0.500  0.000
N  0.119  0.022  0.208
N  0.903  0.022  0.314
N  0.186  0.208  0.588
Nb  0.500  0.500  0.000
N  0.088  0.881  0.403
N  0.903  0.381  0.588
N  0.381  0.588  0.903
N  0.522  0.619  0.708
Nb  0.500  0.000  0.500
N  0.597  0.912  0.119
N  0.478  0.597  0.186
N  0.619  0.708  0.522
N  0.022  0.314  0.903
N  0.814  0.522  0.403
N  0.978  0.792  0.881
N  0.792  0.881  0.978
Y  0.625  0.875  0.750
N  0.314  0.912  0.292
N  0.097  0.619  0.412
Y  0.125  0.250  0.375
N  0.412  0.097  0.619
N  0.314  0.903  0.022
Re  0.625  0.375  0.250
Y  0.750  0.625  0.875
Nb  0.500  0.500  0.500
Re  0.375  0.625  0.750
N  0.403  0.088  0.881
N  0.381  0.292  0.478
Re  0.125  0.750  0.875
N  0.978  0.686  0.097
Y  0.875  0.750  0.625
N  0.686  0.097  0.978
Y  0.375  0.750  0.125
N  0.186  0.478  0.597
N  0.708  0.522  0.619
Re  0.875  0.125  0.750
Y  0.375  0.125  0.250
N  0.119  0.597  0.912
N  0.208  0.588  0.186
N  0.022  0.208  0.119
N  0.292  0.478  0.381
Nb  0.000  0.000  0.500
Y  0.250  0.375  0.125
N  0.814  0.792  0.412
N  0.881  0.978  0.792
N  0.588  0.186  0.208
Y  0.125  0.375  0.750
Re  0.250  0.125  0.875
Re  0.625  0.750  0.375
N  0.597  0.186  0.478
N  0.478  0.381  0.292
Y  0.750  0.125  0.375
N  0.292  0.314  0.912
Re  0.250  0.625  0.375
N  0.708  0.686  0.088
N  0.881  0.403  0.088
N  0.588  0.903  0.381
Nb  0.000  0.500  0.500
Nb  0.500  0.000  0.000
Re  0.875  0.250  0.125
N  0.619  0.412  0.097
N  0.912  0.119  0.597
Re  0.750  0.875  0.125
N  0.208  0.119  0.022
Y  0.875  0.625  0.250
Y  0.625  0.250  0.875

# Y2NbReN6

Crystalline Y2NbReN6 at its relaxed geometry (PBE, OQMD).

The crystal system is trigonal. The value obtained for the electronic total energy is -9.153 eV/atom.

a b c (Å): 10.185 10.185 10.185
angles (deg): 32.19 32.19 32.19
Fractional positions:
Nb  0.500  0.500  0.500
Y  0.146  0.146  0.146
Y  0.854  0.854  0.854
N  0.791  0.290  0.791
N  0.373  0.883  0.373
Re  0.404  0.404  0.404
N  0.290  0.791  0.791
Re  0.596  0.596  0.596
N  0.791  0.791  0.290
N  0.209  0.209  0.710
Nb  0.000  0.000  0.000
N  0.710  0.209  0.209
N  0.883  0.373  0.373
Y  0.266  0.266  0.266
N  0.627  0.627  0.117
N  0.209  0.710  0.209
N  0.373  0.373  0.883
Y  0.734  0.734  0.734
N  0.627  0.117  0.627
N  0.117  0.627  0.627

# NbS2N

Crystalline NbS2N at its relaxed geometry (PBE, OQMD).

The crystal system is hexagonal. The value obtained for the electronic total energy is -6.038 eV/atom.

a b c (Å): 3.157 3.157 12.589
angles (deg): 90.00 90.00 120.00
Fractional positions:
S  0.667  0.333  0.614
N  0.000  0.000  0.000
Nb  0.333  0.667  0.750
S  0.333  0.667  0.114
S  0.333  0.667  0.386
Nb  0.667  0.333  0.250
S  0.667  0.333  0.886
N  0.000  0.000  0.500

# Nb4SN3

Crystalline Nb4SN3 at its relaxed geometry (PBE, OQMD).

The crystal system is hexagonal. The value obtained for the electronic total energy is -9.531 eV/atom.

a b c (Å): 3.160 3.160 22.383
angles (deg): 90.00 90.00 120.00
Fractional positions:
Nb  0.000  0.000  0.329
Nb  0.000  0.000  0.829
N  0.667  0.333  0.113
N  0.667  0.333  0.387
Nb  0.000  0.000  0.171
Nb  0.667  0.333  0.945
Nb  0.000  0.000  0.671
S  0.667  0.333  0.750
N  0.000  0.000  0.500
Nb  0.333  0.667  0.055
Nb  0.667  0.333  0.555
N  0.333  0.667  0.887
N  0.000  0.000  0.000
N  0.333  0.667  0.613
Nb  0.333  0.667  0.445
S  0.333  0.667  0.250

# Nb4SbSN2

Crystalline Nb4SbSN2 at its relaxed geometry (PBE, OQMD).

The crystal system is hexagonal. The value obtained for the electronic total energy is -8.830 eV/atom.

a b c (Å): 3.344 3.344 12.220
angles (deg): 90.00 90.00 120.00
Fractional positions:
Sb  0.000  0.000  0.500
N  0.333  0.667  0.237
Nb  0.000  0.000  0.142
Nb  0.667  0.333  0.317
Nb  0.000  0.000  0.858
S  0.667  0.333  0.000
Nb  0.667  0.333  0.683
N  0.333  0.667  0.763

# Nb4SnSN2

Crystalline Nb4SnSN2 at its relaxed geometry (PBE, OQMD).

The crystal system is hexagonal. The value obtained for the electronic total energy is -8.832 eV/atom.

a b c (Å): 3.304 3.304 12.523
angles (deg): 90.00 90.00 120.00
Fractional positions:
Nb  0.333  0.667  0.359
Sn  0.333  0.667  0.000
S  0.000  0.000  0.500
N  0.667  0.333  0.734
Nb  0.000  0.000  0.185
N  0.667  0.333  0.266
Nb  0.333  0.667  0.641
Nb  0.000  0.000  0.815